[1]
# AlAg6 SCAN PBEsol geometry
# - Mass density: 9.78 g/cm³
# - Size of the total moment: 0.00 μB per formula unit
# - DOS at the Fermi energy: 3.468 states/eV per cell
# - Energy above the lowest structure with this stoichiometry: 10.4 meV per atom
data_AlAg6
_chemical_formula_sum 'Al2 Ag12'
_cell_length_a 2.8801
_cell_length_b 2.8801
_cell_length_c 27.6113
_cell_angle_alpha 90.00
_cell_angle_beta 90.00
_cell_angle_gamma 90.00
_space_group_name_H-M_alt 'I 4/m m m'
_space_group_IT_number 139
_space_group_name_Hall '-I 4 2'
loop_
_atom_site_label
_atom_site_type_symbol
_atom_site_fract_x
_atom_site_fract_y
_atom_site_fract_z
Al1 Al 0.0000 0.0000 0.0000
Ag1 Ag 0.0000 0.0000 0.1409
Ag2 Ag 0.0000 0.0000 0.2865
Ag3 Ag 0.0000 0.0000 0.4336

[2]
# MgTeH3 SCAN PBEsol geometry
# - Mass density: 4.55 g/cm³
# - Size of the total moment: 0.00 μB per formula unit
# - E: -50.3 eV for the cell shown
# - DOS at the Fermi energy: 1.331 states/eV per cell
data_MgTeH3
_chemical_formula_sum 'Mg1 Te1 H3'
_cell_length_a 3.8370
_cell_length_b 3.8370
_cell_length_c 3.8370
_cell_angle_alpha 90.00
_cell_angle_beta 90.00
_cell_angle_gamma 90.00
_space_group_name_H-M_alt 'P m -3 m'
_space_group_IT_number 221
_space_group_name_Hall '-P 4 2 3'
loop_
_atom_site_label
_atom_site_type_symbol
_atom_site_fract_x
_atom_site_fract_y
_atom_site_fract_z
Mg1 Mg 0.0000 0.0000 0.0000
Te1 Te 0.5000 0.5000 0.5000
H1 H 0.0000 0.0000 0.5000

[3]
# SiP2S2 SCAN PBEsol geometry
# - Mass density: 2.90 g/cm³
# - Size of the total moment: 0.00 μB per formula unit
# - DOS at the Fermi energy: 2.781 states/eV per cell
# - Energy relative to the elements, uncorrected: 1179 meV/atom
# - Energy above the lowest structure with this stoichiometry: 329.0 meV per atom
data_SiP2S2
_chemical_formula_sum 'Si1 P2 S2'
_cell_length_a 4.4243
_cell_length_b 4.4243
_cell_length_c 4.5029
_cell_angle_alpha 90.00
_cell_angle_beta 90.00
_cell_angle_gamma 90.00
_space_group_name_H-M_alt 'P 4/m m m'
_space_group_IT_number 123
_space_group_name_Hall '-P 4 2'
loop_
_atom_site_label
_atom_site_type_symbol
_atom_site_fract_x
_atom_site_fract_y
_atom_site_fract_z
Si1 Si 0.0000 0.0000 0.0000
P1 P 0.0000 0.5000 0.5000
S1 S 0.5000 0.5000 0.0000
S2 S 0.5000 0.5000 0.5000